# GeOs2Au (PBE-GGA, relaxed)
# Magnetic moment, Bohr magnetons per cell: 0.01
# VASP energy, eV per atom: -6.81
data_GeOs2Au
_chemical_formula_sum 'Ge4 Os8 Au4'
_symmetry_space_group_name_H-M 'F -4 3 m'
_symmetry_Int_Tables_number 216
_symmetry_space_group_name_Hall 'F -4 2 3'
_cell_length_a 6.326
_cell_length_b 6.326
_cell_length_c 6.326
_cell_angle_alpha 90.00
_cell_angle_beta 90.00
_cell_angle_gamma 90.00
loop_
_atom_site_label
_atom_site_type_symbol
_atom_site_fract_x
_atom_site_fract_y
_atom_site_fract_z
_atom_site_occupancy
Ge1 Ge 0.000 0.000 0.000 1
Os1 Os 0.000 0.000 0.500 1
Os2 Os 0.250 0.250 0.750 1
Au1 Au 0.250 0.250 0.250 1

---

# GeOsAu (PBE-GGA, relaxed)
# Magnetic moment, Bohr magnetons per cell: 0.01
# VASP energy, eV per atom: -5.93
data_GeOsAu
_chemical_formula_sum 'Ge4 Os4 Au4'
_symmetry_space_group_name_H-M 'F -4 3 m'
_symmetry_Int_Tables_number 216
_symmetry_space_group_name_Hall 'F -4 2 3'
_cell_length_a 5.917
_cell_length_b 5.917
_cell_length_c 5.917
_cell_angle_alpha 90.00
_cell_angle_beta 90.00
_cell_angle_gamma 90.00
loop_
_atom_site_label
_atom_site_type_symbol
_atom_site_fract_x
_atom_site_fract_y
_atom_site_fract_z
_atom_site_occupancy
Ge1 Ge 0.000 0.000 0.000 1
Os1 Os 0.250 0.250 0.250 1
Au1 Au 0.250 0.250 0.750 1

---

# GeP2Au2 (PBE-GGA, relaxed)
# VASP energy, eV per atom: -4.39
data_GeP2Au2
_chemical_formula_sum 'Ge4 P8 Au8'
_symmetry_space_group_name_H-M 'C m c m'
_symmetry_Int_Tables_number 63
_symmetry_space_group_name_Hall '-C 2c 2'
_cell_length_a 3.175
_cell_length_b 11.316
_cell_length_c 11.274
_cell_angle_alpha 90.00
_cell_angle_beta 90.00
_cell_angle_gamma 90.00
loop_
_atom_site_label
_atom_site_type_symbol
_atom_site_fract_x
_atom_site_fract_y
_atom_site_fract_z
_atom_site_occupancy
Ge1 Ge 0.000 0.028 0.250 1
P1 P 0.000 0.298 0.045 1
Au1 Au 0.000 0.267 0.250 1
Au2 Au 0.000 0.500 0.000 1

---

# Si17Ge13PAu (PBE-GGA, relaxed)
# VASP energy, eV per atom: -5.00
# Relative energy among the computed polymorphs, eV/atom: 0.000
data_Si17Ge13PAu
_chemical_formula_sum 'Si17 Ge13 P1 Au1'
_symmetry_space_group_name_H-M 'P 1 m 1'
_symmetry_Int_Tables_number 6
_cell_length_a 5.572
_cell_length_b 3.924
_cell_length_c 31.612
_cell_angle_alpha 90.00
_cell_angle_beta 90.78
_cell_angle_gamma 90.00
loop_
_symmetry_equiv_pos_as_xyz
'x,y,z'
'x,-y,z'
loop_
_atom_site_label
_atom_site_type_symbol
_atom_site_fract_x
_atom_site_fract_y
_atom_site_fract_z
_atom_site_occupancy
Si1 Si 0.000 0.000 0.000 1
Si2 Si 0.001 0.000 0.377 1
Si3 Si 0.005 0.000 0.877 1
Si4 Si 0.006 0.000 0.628 1
Si5 Si 0.024 0.000 0.128 1
Si6 Si 0.241 0.500 0.376 1
Si7 Si 0.246 0.500 0.627 1
Si8 Si 0.248 0.500 0.875 1
Si9 Si 0.265 0.500 0.128 1
Si10 Si 0.478 0.500 0.315 1
Si11 Si 0.494 0.500 0.566 1
Si12 Si 0.505 0.500 0.816 1
Si13 Si 0.747 0.000 0.816 1
Si14 Si 0.756 0.000 0.437 1
Si15 Si 0.758 0.000 0.689 1
Si16 Si 0.761 0.000 0.938 1
Si17 Si 0.991 0.000 0.256 1
Ge1 Ge 0.250 0.500 0.000 1
Ge2 Ge 0.257 0.500 0.502 1
Ge3 Ge 0.258 0.500 0.753 1
Ge4 Ge 0.505 0.500 0.065 1
Ge5 Ge 0.505 0.500 0.438 1
Ge6 Ge 0.506 0.500 0.688 1
Ge7 Ge 0.508 0.500 0.937 1
Ge8 Ge 0.729 0.000 0.316 1
Ge9 Ge 0.745 0.000 0.566 1
Ge10 Ge 0.765 0.000 0.189 1
Ge11 Ge 0.769 0.000 0.064 1
Ge12 Ge 0.993 0.000 0.753 1
Ge13 Ge 0.994 0.000 0.502 1
P1 P 0.503 0.500 0.187 1
Au1 Au 0.240 0.500 0.249 1

---

# Si17Ge13PAu (PBE-GGA, relaxed)
# VASP energy, eV per atom: -4.99
# Relative energy among the computed polymorphs, eV/atom: 0.010
data_Si17Ge13PAu
_chemical_formula_sum 'Si17 Ge13 P1 Au1'
_symmetry_space_group_name_H-M 'P 1'
_symmetry_Int_Tables_number 1
_cell_length_a 6.873
_cell_length_b 10.390
_cell_length_c 10.403
_cell_angle_alpha 81.49
_cell_angle_beta 83.76
_cell_angle_gamma 71.10
loop_
_symmetry_equiv_pos_as_xyz
'x,y,z'
loop_
_atom_site_label
_atom_site_type_symbol
_atom_site_fract_x
_atom_site_fract_y
_atom_site_fract_z
_atom_site_occupancy
Si1 Si 0.000 0.000 0.000 1
Si2 Si 0.002 0.621 0.117 1
Si3 Si 0.366 0.919 0.983 1
Si4 Si 0.371 0.543 0.099 1
Si5 Si 0.374 0.414 0.479 1
Si6 Si 0.376 0.793 0.356 1
Si7 Si 0.498 0.808 0.556 1
Si8 Si 0.500 0.688 0.938 1
Si9 Si 0.505 0.186 0.429 1
Si10 Si 0.507 0.310 0.053 1
Si11 Si 0.863 0.605 0.926 1
Si12 Si 0.870 0.231 0.046 1
Si13 Si 0.871 0.111 0.415 1
Si14 Si 0.876 0.481 0.284 1
Si15 Si 0.880 0.853 0.163 1
Si16 Si 0.993 0.249 0.243 1
Si17 Si 0.999 0.121 0.614 1
Ge1 Ge 0.002 0.493 0.489 1
Ge2 Ge 0.002 0.876 0.365 1
Ge3 Ge 0.369 0.174 0.226 1
Ge4 Ge 0.372 0.046 0.600 1
Ge5 Ge 0.377 0.668 0.734 1
Ge6 Ge 0.500 0.061 0.812 1
Ge7 Ge 0.501 0.557 0.306 1
Ge8 Ge 0.503 0.428 0.683 1
Ge9 Ge 0.506 0.931 0.182 1
Ge10 Ge 0.871 0.732 0.541 1
Ge11 Ge 0.880 0.350 0.671 1
Ge12 Ge 0.881 0.984 0.795 1
Ge13 Ge 0.996 0.741 0.752 1
P1 P 0.383 0.293 0.861 1
Au1 Au 0.011 0.371 0.880 1

---

# Ge2Pb3Au2 (PBE-GGA, relaxed)
# VASP energy, eV per atom: -3.61
data_Ge2Pb3Au2
_chemical_formula_sum 'Ge6 Pb9 Au6'
_symmetry_space_group_name_H-M 'R 3 m'
_symmetry_Int_Tables_number 160
_symmetry_space_group_name_Hall 'R 3 -2"'
_cell_length_a 5.0204
_cell_length_b 5.0204
_cell_length_c 25.0249
_cell_angle_alpha 90.00
_cell_angle_beta 90.00
_cell_angle_gamma 120.00
loop_
_atom_site_label
_atom_site_type_symbol
_atom_site_fract_x
_atom_site_fract_y
_atom_site_fract_z
_atom_site_occupancy
Ge1 Ge 0.0000 0.0000 0.0000 1
Ge2 Ge 0.0000 0.0000 0.4993 1
Pb1 Pb 0.0000 0.0000 0.3824 1
Pb2 Pb 0.0000 0.0000 0.6242 1
Pb3 Pb 0.0000 0.0000 0.8679 1
Au1 Au 0.0000 0.0000 0.2342 1
Au2 Au 0.0000 0.0000 0.7503 1

---

- What is the formula in the third record?
  GeP2Au2